1.
Here is crystalline Ga2HgBH at its relaxed geometry from the Alexandria database. Energies are from GGA-PBE.

Cell lengths 3.908, 5.056, 3.908 Å; angles 90.00, 90.00, 90.00 degrees
Positions (direct):
Ga1 0.500 0.000 0.000
Hg1 0.000 0.500 0.000
B1 0.500 0.500 0.500
H1 0.000 0.000 0.000
Ga2 0.000 0.000 0.500

Values from the calculation:
As for the crystal system: tetragonal. The polymorph energy (0 for the lowest one) is 0.00 eV/f.u. The spin magnetization is 0.0 μB/f.u.

2.
Here is crystalline Ga2HgBH at its relaxed geometry from the Alexandria database. Energies are from GGA-PBE.

Cell lengths 5.257, 3.436, 5.257 Å; angles 90.00, 90.00, 90.00 degrees
Positions (direct):
Ga1 0.000 0.000 0.500
Ga2 0.500 0.000 0.000
H1 0.000 0.500 0.000
Hg1 0.000 0.000 0.000
B1 0.500 0.500 0.500

Values from the calculation:
As for the crystal system: tetragonal. The polymorph energy (0 for the lowest one) is 0.88 eV/f.u. The spin magnetization is 0.0 μB/f.u.

3.
Here is crystalline NaGaBH2 at its relaxed geometry from the Alexandria database. Energies are from GGA-PBE.

Cell lengths 4.061, 3.847, 4.061 Å; angles 90.00, 90.00, 90.00 degrees
Positions (direct):
B1 0.000 0.000 0.000
H1 0.500 0.000 0.000
Ga1 0.000 0.500 0.000
Na1 0.500 0.500 0.500
H2 0.000 0.000 0.500

Values from the calculation:
As for the crystal system: tetragonal. Its calculated total energy is -2.77 eV per atom. The spin magnetization is 0.0 μB/f.u.

Please write out number 1 again, unchanged.
Here is crystalline Ga2HgBH at its relaxed geometry from the Alexandria database. Energies are from GGA-PBE.

Cell lengths 3.908, 5.056, 3.908 Å; angles 90.00, 90.00, 90.00 degrees
Positions (direct):
Ga1 0.500 0.000 0.000
Hg1 0.000 0.500 0.000
B1 0.500 0.500 0.500
H1 0.000 0.000 0.000
Ga2 0.000 0.000 0.500

Values from the calculation:
As for the crystal system: tetragonal. The polymorph energy (0 for the lowest one) is 0.00 eV/f.u. The spin magnetization is 0.0 μB/f.u.

Q: What is the spin magnetization in the third record?
A: 0.0 μB/f.u.